A relaxed structure of La8Ga2Ir3. Source: the Alexandria database, functional GGA-PBE.

Properties
- Space group: P2/m (10)
- Volume: 29.8 A^3/atom
- E_tot: -6.032 eV per atom
- Formation energy from the elements: -11.3 kcal/mol of atoms

Unit cell a=9.0174 b=5.0887 c=9.0185 alpha=90.00 beta=110.49 gamma=90.00
Last column: nearest neighbours and their distance in Å.
Sites, in units of the cell vectors:
La1 0.1160 0.0000 0.3845  2 Ir 3.00-3.01, 2 Ga 3.15
La2 0.1364 0.5000 0.8715  3 Ir 3.07-3.09, 2 Ga 3.19-3.28
La3 0.3718 0.5000 0.6366  3 Ir 3.07-3.09, 2 Ga 3.20-3.28
La4 0.3825 0.0000 0.1165  4 Ir 3.08-3.19, 2 Ga 3.30
La5 0.6175 0.0000 0.8835  4 Ir 3.08-3.19, 2 Ga 3.30
La6 0.6282 0.5000 0.3634  3 Ir 3.07-3.09, 2 Ga 3.20-3.28
La7 0.8636 0.5000 0.1285  3 Ir 3.07-3.09, 2 Ga 3.19-3.28
La8 0.8840 0.0000 0.6155  2 Ir 3.00-3.01, 2 Ga 3.15
Ga1 0.2416 0.5000 0.2584  8 La 3.15-3.30
Ga2 0.7584 0.5000 0.7416  8 La 3.15-3.30
Ir1 0.2398 0.0000 0.7395  8 La 3.00-3.19
Ir2 0.5000 0.5000 0.0000  8 La 3.07-3.08
Ir3 0.7602 0.0000 0.2605  8 La 3.00-3.19